{
  "formula": "GaTcPb3",
  "functional": "PBE",
  "state": "relaxed",
  "lattice_angstrom": [[5.339, 0.000, 0.000], [0.000, 5.339, 0.000], [0.000, 0.000, 5.339]],
  "species": ["Ga", "Tc", "Pb", "Pb", "Pb"],
  "frac_coords": [[0.000, 0.000, 0.000], [0.500, 0.500, 0.500], [0.000, 0.500, 0.500], [0.500, 0.000, 0.500], [0.500, 0.500, 0.000]],
  "magmom_total_mub_per_fu": 0.95,
  "polymorph_energy_mev_per_atom": 0,
  "space_group": "Pm-3m, No. 221"
}

***

{
  "formula": "GaTcPb2",
  "functional": "PBE",
  "state": "relaxed",
  "lattice_angstrom": [[-5.146, 5.146, 2.486], [5.146, -5.146, 2.486], [5.146, 5.146, -2.486]],
  "species": ["Ga", "Ga", "Tc", "Tc", "Pb", "Pb", "Pb", "Pb"],
  "frac_coords": [[0.375, 0.625, 0.750], [0.625, 0.375, 0.250], [0.125, 0.875, 0.250], [0.875, 0.125, 0.750], [0.000, 0.000, 0.000], [0.000, 0.000, 0.500], [0.000, 0.500, 0.000], [0.500, 0.000, 0.500]],
  "magmom_total_mub_per_fu": 0.00,
  "space_group": "I4_1/amd, No. 141",
  "final_energy_ev_per_atom": -4.95
}

***

{
  "formula": "GaTcPb2W",
  "functional": "PBE",
  "state": "relaxed",
  "lattice_angstrom": [[5.180, 0.000, 0.000], [0.000, 5.180, 0.000], [0.000, 0.000, 4.578]],
  "species": ["Ga", "Tc", "Pb", "Pb", "W"],
  "frac_coords": [[0.000, 0.000, 0.000], [0.000, 0.000, 0.500], [0.000, 0.500, 0.000], [0.500, 0.000, 0.000], [0.500, 0.500, 0.500]],
  "magmom_total_mub_per_fu": 1.61,
  "space_group": "P4/mmm, No. 123",
  "final_energy_ev_per_atom": -4.85
}

***

{
  "formula": "Ga2TePb",
  "functional": "PBE",
  "state": "relaxed",
  "lattice_angstrom": [[0.000, 3.725, 3.725], [3.725, 0.000, 3.725], [3.725, 3.725, 0.000]],
  "species": ["Ga", "Ga", "Te", "Pb"],
  "frac_coords": [[0.250, 0.250, 0.250], [0.750, 0.750, 0.750], [0.000, 0.000, 0.000], [0.500, 0.500, 0.500]],
  "raw_formation_energy_ev_per_atom": 0.09,
  "magmom_total_mub_per_fu": 0.00,
  "polymorph_energy_mev_per_atom": 136,
  "space_group": "Fm-3m, No. 225"
}

***

{
  "formula": "Ga2TePb",
  "functional": "PBE",
  "state": "relaxed",
  "lattice_angstrom": [[1.949, 1.125, 9.536], [-1.949, 1.125, 9.536], [0.000, -2.250, 9.536]],
  "species": ["Ga", "Ga", "Te", "Pb"],
  "frac_coords": [[0.103, 0.103, 0.103], [0.897, 0.897, 0.897], [0.500, 0.500, 0.500], [0.000, 0.000, 0.000]],
  "raw_formation_energy_ev_per_atom": 0.08,
  "magmom_total_mub_per_fu": 0.00,
  "polymorph_energy_mev_per_atom": 124,
  "space_group": "R-3m, No. 166"
}

***

{
  "formula": "Ga2TePb2",
  "functional": "PBE",
  "state": "relaxed",
  "lattice_angstrom": [[-1.980, 1.980, 8.809], [1.980, -1.980, 8.809], [1.980, 1.980, -8.809]],
  "species": ["Ga", "Ga", "Te", "Pb", "Pb"],
  "frac_coords": [[0.250, 0.750, 0.500], [0.750, 0.250, 0.500], [0.000, 0.000, 0.000], [0.394, 0.394, 0.000], [0.606, 0.606, 0.000]],
  "raw_formation_energy_ev_per_atom": 0.00,
  "magmom_total_mub_per_fu": 0.00,
  "polymorph_energy_mev_per_atom": 0,
  "space_group": "I4/mmm, No. 139"
}